1.
Hg5Te4 | Alexandria via LeMat-Bulk | PBE | relaxed; DOS(E_F) = 0.44 states/eV/atom; total moment = 0.00 μB per cell; SG = P6_3/mcm
1.0
8.733 0.000 0.000
-4.367 7.563 0.000
0.000 0.000 8.181
Hg Te
10 8
Direct
0.000 0.254 0.250
0.000 0.746 0.750
0.254 0.000 0.250
0.254 0.254 0.750
0.333 0.667 0.000
0.333 0.667 0.500
0.667 0.333 0.000
0.667 0.333 0.500
0.746 0.000 0.750
0.746 0.746 0.250
0.000 0.000 0.000
0.000 0.000 0.500
0.000 0.425 0.750
0.000 0.575 0.250
0.425 0.000 0.750
0.425 0.425 0.250
0.575 0.000 0.250
0.575 0.575 0.750

2.
Hg5Te4 | Alexandria via LeMat-Bulk | PBE | relaxed; DOS(E_F) = 0.81 states/eV/atom; total moment = 0.00 μB per cell; SG = I4/mmm
1.0
-5.571 5.571 1.995
5.571 -5.571 1.995
5.571 5.571 -1.995
Hg Te
5 4
Direct
0.000 0.000 0.000
0.336 0.336 0.672
0.336 0.664 0.000
0.664 0.336 0.000
0.664 0.664 0.328
0.000 0.329 0.329
0.000 0.671 0.671
0.329 0.000 0.329
0.671 0.000 0.671

Which one sits at the bottom of the stability order? 2 does.

1.
Hg3Te4 | Alexandria via LeMat-Bulk | PBE | relaxed; DOS(E_F) = 0.85 states/eV/atom; total moment = 0.00 μB per cell; SG = P6/mmm
1.0
5.753 0.000 0.000
-2.877 4.983 0.000
0.000 0.000 7.386
Hg Te
3 4
Direct
0.000 0.500 0.000
0.500 0.000 0.000
0.500 0.500 0.000
0.000 0.000 0.312
0.000 0.000 0.688
0.333 0.667 0.500
0.667 0.333 0.500

2.
Hg3Te4 | Alexandria via LeMat-Bulk | PBE | relaxed; DOS(E_F) = 0.50 states/eV/atom; total moment = 0.00 μB per cell; SG = I4/mmm
1.0
-2.043 2.043 16.004
2.043 -2.043 16.004
2.043 2.043 -16.004
Hg Te
3 4
Direct
0.000 0.000 0.000
0.277 0.277 0.000
0.723 0.723 0.000
0.127 0.127 0.000
0.402 0.402 0.000
0.598 0.598 0.000
0.873 0.873 0.000

Which one sits at the bottom of the stability order? 1 does.

1.
Hg4Te3 | Alexandria via LeMat-Bulk | PBE | relaxed; DOS(E_F) = 0.29 states/eV/atom; total moment = 0.00 μB per cell; SG = I4/mmm
1.0
-2.157 2.157 11.712
2.157 -2.157 11.712
2.157 2.157 -11.712
Hg Te
4 3
Direct
0.058 0.058 0.000
0.323 0.323 0.000
0.677 0.677 0.000
0.942 0.942 0.000
0.176 0.176 0.000
0.500 0.500 0.000
0.824 0.824 0.000

2.
Hg4Te3 | Alexandria via LeMat-Bulk | PBE | relaxed; DOS(E_F) = 0.39 states/eV/atom; total moment = 0.00 μB per cell; SG = P6/mmm
1.0
6.483 0.000 0.000
-3.241 5.614 0.000
0.000 0.000 5.726
Hg Te
4 3
Direct
0.000 0.000 0.243
0.000 0.000 0.757
0.333 0.667 0.000
0.667 0.333 0.000
0.000 0.500 0.500
0.500 0.000 0.500
0.500 0.500 0.500

Which one sits at the bottom of the stability order? 2 does.

1.
Th2HgTe | Alexandria via LeMat-Bulk | PBE | relaxed; DOS(E_F) = 0.76 states/eV/atom; total moment = 0.00 μB per cell; SG = R-3m
1.0
2.268 1.309 7.125
-2.268 1.309 7.125
0.000 -2.618 7.125
Th Hg Te
2 1 1
Direct
0.245 0.245 0.245
0.755 0.755 0.755
0.500 0.500 0.500
0.000 0.000 0.000

2.
Th2HgTe | Alexandria via LeMat-Bulk | PBE | relaxed; DOS(E_F) = 1.04 states/eV/atom; total moment = 0.00 μB per cell; SG = R3m
1.0
1.995 1.152 8.994
-1.995 1.152 8.994
0.000 -2.304 8.994
Th Hg Te
2 1 1
Direct
0.000 0.000 0.000
0.170 0.170 0.170
0.419 0.419 0.419
0.585 0.585 0.585

3.
Th2HgTe | Alexandria via LeMat-Bulk | PBE | relaxed; DOS(E_F) = 1.46 states/eV/atom; total moment = 0.00 μB per cell; SG = Fm-3m
1.0
0.000 3.851 3.851
3.851 0.000 3.851
3.851 3.851 0.000
Th Hg Te
2 1 1
Direct
0.250 0.250 0.250
0.750 0.750 0.750
0.000 0.000 0.000
0.500 0.500 0.500

4.
Th2HgTe | Alexandria via LeMat-Bulk | PBE | relaxed; DOS(E_F) = 1.31 states/eV/atom; total moment = 0.00 μB per cell; SG = P4/mmm
1.0
3.703 0.000 0.000
0.000 3.703 0.000
0.000 0.000 8.262
Th Hg Te
2 1 1
Direct
0.000 0.000 0.247
0.000 0.000 0.753
0.500 0.500 0.500
0.500 0.500 0.000

Which one sits at the bottom of the stability order? 2 does.

1.
ThHgTe2 | Alexandria via LeMat-Bulk | PBE | relaxed; total moment = 0.00 μB per cell; SG = R3m
1.0
2.258 1.304 9.815
-2.258 1.304 9.815
0.000 -2.607 9.815
Th Hg Te
1 1 2
Direct
0.000 0.000 0.000
0.831 0.831 0.831
0.393 0.393 0.393
0.607 0.607 0.607

2.
ThHgTe2 | Alexandria via LeMat-Bulk | PBE | relaxed; total moment = 0.00 μB per cell; SG = R-3m
1.0
2.259 1.304 11.270
-2.259 1.304 11.270
0.000 -2.608 11.270
Th Hg Te
1 1 2
Direct
0.000 0.000 0.000
0.500 0.500 0.500
0.385 0.385 0.385
0.615 0.615 0.615

3.
ThHgTe2 | Alexandria via LeMat-Bulk | PBE | relaxed; DOS(E_F) = 0.36 states/eV/atom; total moment = 0.00 μB per cell; SG = P4/mmm
1.0
3.973 0.000 0.000
0.000 3.973 0.000
0.000 0.000 7.584
Th Hg Te
1 1 2
Direct
0.000 0.000 0.000
0.000 0.000 0.500
0.500 0.500 0.227
0.500 0.500 0.773

Which one sits at the bottom of the stability order? 3 does.

1.
Ti3HgTe | Alexandria via LeMat-Bulk | PBE | relaxed; DOS(E_F) = 1.70 states/eV/atom; total moment = 2.10 μB per cell; SG = Pm-3m
1.0
4.995 0.000 0.000
0.000 4.995 0.000
0.000 0.000 4.995
Ti Hg Te
3 1 1
Direct
0.000 0.000 0.500
0.000 0.500 0.000
0.500 0.000 0.000
0.500 0.500 0.500
0.000 0.000 0.000

2.
Ti3HgTe | Alexandria via LeMat-Bulk | PBE | relaxed; DOS(E_F) = 1.29 states/eV/atom; total moment = 4.01 μB per cell; SG = Pm-3m
1.0
5.072 0.000 0.000
0.000 5.072 0.000
0.000 0.000 5.072
Ti Hg Te
3 1 1
Direct
0.000 0.000 0.500
0.000 0.500 0.000
0.500 0.000 0.000
0.000 0.000 0.000
0.500 0.500 0.500

Which one sits at the bottom of the stability order? 2 does.